KCaIr: optimized geometry, GGA-PBE.

Unit cell a=4.877 b=4.877 c=4.877 alpha=60.00 beta=60.00 gamma=60.00
Each line ends with the local moment (μB).
Sites, in units of the cell vectors:
Ir 0.500 0.500 0.500  0.10
K 0.750 0.750 0.750  0.00
Ca 0.000 0.000 0.000  -0.01

Properties
symmetry	No. 216
volume	82	Å³/f.u.
distance to the lowest polymorph of the same formula	732	meV per atom
energy	-2.9778	eV/atom
total moment	0.08	μB/f.u.
formation enthalpy at 0 K	3.027	eV/f.u.

K2CaIr: optimized geometry, GGA-PBE.

Unit cell a=5.784 b=4.511 c=4.511 alpha=90.00 beta=90.00 gamma=90.00
Each line ends with the local moment (μB).
Sites, in units of the cell vectors:
Ir 0.500 0.000 0.500  0.14
Ca 0.500 0.500 0.000  0.04
K 0.000 0.500 0.500  0.03
K 0.000 0.000 0.000  0.03

Properties
symmetry	No. 123
volume	118	Å³/f.u.
distance to the lowest polymorph of the same formula	325	meV per atom
energy	-2.7096	eV/atom
total moment	0.54	μB/f.u.
formation enthalpy at 0 K	2.219	eV/f.u.

K2CaIr: optimized geometry, GGA-PBE.

Unit cell a=4.747 b=4.747 c=9.030 alpha=74.79 beta=74.79 gamma=59.73
Sites, in units of the cell vectors:
K 0.783 0.783 0.652
Ir 0.209 0.209 0.376
Ca 0.542 0.542 0.375
K 0.966 0.966 0.097

Properties
symmetry	No. 8
volume	168	Å³/f.u.
distance to the lowest polymorph of the same formula	90	meV per atom
energy	-2.9442	eV/atom
total moment	0.00	μB/f.u.
formation enthalpy at 0 K	1.281	eV/f.u.